(1)
# MoH3Cl

A PBEsol-optimized structure of MoH3Cl (SCAN, the Alexandria database).

Cell: 3.420 3.420 3.420 Å, 90.00 90.00 90.00°
Space group Pm-3m (No. 221)
One atom of each set of equivalent atoms:
Mo 0.000 0.000 0.000 (multiplicity 1)
H 0.000 0.500 0.500 (multiplicity 3)
Cl 0.500 0.500 0.500 (multiplicity 1)

V in Å³ per atom: 8.00


(2)
# MoH2Cl2

A PBEsol-optimized structure of MoH2Cl2 (SCAN, the Alexandria database).

Cell: 4.262 4.262 5.938 Å, 90.00 90.00 90.00°
Space group I4/mmm (No. 139)
One atom of each set of equivalent atoms:
Mo 0.000 0.000 0.000 (multiplicity 2)
H 0.000 0.000 0.435 (multiplicity 4)
Cl 0.000 0.500 0.250 (multiplicity 4)

V in Å³ per atom: 10.79


(3)
# MoH2Cl2O3

A PBEsol-optimized structure of MoH2Cl2O3 (SCAN, the Alexandria database).

Cell: 9.060 3.854 7.024 Å, 90.00 90.00 90.00°
Space group Pmn2_1 (No. 31)
One atom of each set of equivalent atoms:
Mo 0.000 0.221 0.000 (multiplicity 2)
H 0.088 0.376 0.613 (multiplicity 4)
Cl 0.250 0.297 0.940 (multiplicity 4)
O 0.000 0.265 0.237 (multiplicity 2)
O 0.000 0.280 0.677 (multiplicity 2)
O 0.000 0.772 0.971 (multiplicity 2)

V in Å³ per atom: 15.33


(4)
# MoHSCl2

A PBEsol-optimized structure of MoHSCl2 (SCAN, the Alexandria database).

Cell: 4.725 4.725 3.199 Å, 90.00 90.00 90.00°
Space group P4/mmm (No. 123)
One atom of each set of equivalent atoms:
Mo 0.000 0.000 0.000 (multiplicity 1)
H 0.500 0.500 0.500 (multiplicity 1)
S 0.500 0.500 0.000 (multiplicity 1)
Cl 0.000 0.500 0.500 (multiplicity 2)

V in Å³ per atom: 14.28


Summary of total magnetization in μB/cell
2.62 0.00 0.00 2.43
(order as listed above)
Summary of final energy in eV per atom
-8.796 -11.443 -10.947 -12.067
(order as listed above)